Record 1
{"formula": "GaCuBi2H", "functional": "PBEsol", "state": "optimized geometry", "energy_ev_per_atom": -3.4655, "lattice_angstrom": [[4.837, 0.000, 0.000], [0.000, 4.837, 0.000], [0.000, 0.000, 4.031]], "species": ["Ga", "Cu", "Bi", "Bi", "H"], "frac_coords": [[0.000, 0.000, 0.000], [0.500, 0.500, 0.000], [0.000, 0.500, 0.500], [0.500, 0.000, 0.500], [0.000, 0.000, 0.500]]}


Record 2
{"formula": "BaGe2O2", "functional": "PBEsol", "state": "optimized geometry", "energy_ev_per_atom": -5.3926, "e_form_raw_ev_per_atom": -0.888, "lattice_angstrom": [[3.529, 0.000, 0.000], [0.000, 3.529, 0.000], [0.000, 0.000, 13.316]], "species": ["Ba", "Ba", "Ge", "Ge", "Ge", "Ge", "O", "O", "O", "O"], "frac_coords": [[0.000, 0.000, 0.000], [0.500, 0.500, 0.500], [0.000, 0.500, 0.250], [0.000, 0.500, 0.750], [0.500, 0.000, 0.250], [0.500, 0.000, 0.750], [0.000, 0.000, 0.393], [0.000, 0.000, 0.607], [0.500, 0.500, 0.107], [0.500, 0.500, 0.893]]}


Record 3
{"formula": "MgSc2Co", "functional": "PBEsol", "state": "optimized geometry", "energy_ev_per_atom": -5.7601, "ef_ev_per_atom": -0.09, "lattice_angstrom": [[3.461, 0.000, 0.000], [0.000, 4.968, 0.000], [0.000, 0.000, 8.645]], "species": ["Mg", "Mg", "Sc", "Sc", "Sc", "Sc", "Co", "Co"], "frac_coords": [[0.000, 0.000, 0.000], [0.500, 0.500, 0.500], [0.000, 0.500, 0.200], [0.000, 0.500, 0.800], [0.500, 0.000, 0.300], [0.500, 0.000, 0.700], [0.000, 0.000, 0.500], [0.500, 0.500, 0.000]]}


Record 4
{"formula": "CaLaTl2O", "functional": "PBEsol", "state": "optimized geometry", "energy_ev_per_atom": -4.5310, "e_form_raw_ev_per_atom": -0.933, "lattice_angstrom": [[5.655, 0.000, 0.000], [0.000, 5.655, 0.000], [0.000, 0.000, 4.365]], "species": ["Ca", "La", "Tl", "Tl", "O"], "frac_coords": [[0.000, 0.000, 0.000], [0.500, 0.500, 0.000], [0.000, 0.500, 0.500], [0.500, 0.000, 0.500], [0.500, 0.500, 0.500]]}


Record 5
{"formula": "Ba2Ti6N2O11", "functional": "PBEsol", "state": "optimized geometry", "de_polymorph_kj_per_mol_atoms": 0.0, "energy_ev_per_atom": -8.9943, "e_form_raw_ev_per_atom": -2.850, "lattice_angstrom": [[7.579, -1.956, 0.000], [7.579, 1.956, 0.000], [-1.332, 0.000, 9.026]], "species": ["Ba", "Ba", "Ti", "Ti", "Ti", "Ti", "Ti", "Ti", "N", "N", "O", "O", "O", "O", "O", "O", "O", "O", "O", "O", "O"], "frac_coords": [[0.000, 0.000, 0.000], [0.103, 0.103, 0.549], [0.304, 0.304, 0.992], [0.386, 0.386, 0.327], [0.434, 0.434, 0.677], [0.677, 0.677, 0.872], [0.726, 0.726, 0.197], [0.790, 0.790, 0.534], [0.190, 0.190, 0.872], [0.791, 0.791, 0.016], [0.255, 0.255, 0.201], [0.314, 0.314, 0.527], [0.387, 0.387, 0.854], [0.427, 0.427, 0.155], [0.482, 0.482, 0.473], [0.550, 0.550, 0.765], [0.623, 0.623, 0.067], [0.687, 0.687, 0.388], [0.721, 0.721, 0.677], [0.855, 0.855, 0.340], [0.917, 0.917, 0.652]]}


Record 6
{"formula": "KTl2Rh", "functional": "PBEsol", "state": "optimized geometry", "energy_ev_per_atom": -3.2632, "ef_ev_per_atom": 0.37, "lattice_angstrom": [[3.428, 0.000, 0.000], [-1.714, 2.969, 0.000], [0.000, 0.000, 29.599]], "species": ["K", "K", "K", "Tl", "Tl", "Tl", "Tl", "Tl", "Tl", "Rh", "Rh", "Rh"], "frac_coords": [[0.000, 0.000, 0.000], [0.333, 0.667, 0.667], [0.667, 0.333, 0.333], [0.000, 0.000, 0.524], [0.000, 0.000, 0.770], [0.333, 0.667, 0.191], [0.333, 0.667, 0.437], [0.667, 0.333, 0.103], [0.667, 0.333, 0.857], [0.000, 0.000, 0.252], [0.333, 0.667, 0.919], [0.667, 0.333, 0.586]]}


Record 7
{"formula": "LiTcRu2", "functional": "PBEsol", "state": "optimized geometry", "de_polymorph_kj_per_mol_atoms": 6.8, "energy_ev_per_atom": -8.1120, "ef_ev_per_atom": 0.28, "lattice_angstrom": [[2.821, 0.000, 0.000], [0.000, 4.345, 0.000], [0.000, 0.000, 8.355]], "species": ["Li", "Li", "Tc", "Tc", "Ru", "Ru", "Ru", "Ru"], "frac_coords": [[0.000, 0.000, 0.000], [0.500, 0.500, 0.500], [0.000, 0.000, 0.500], [0.500, 0.500, 0.000], [0.000, 0.500, 0.256], [0.000, 0.500, 0.744], [0.500, 0.000, 0.244], [0.500, 0.000, 0.756]]}


Record 8
{"formula": "CoReW2", "functional": "PBEsol", "state": "optimized geometry", "energy_ev_per_atom": -11.9298, "ef_ev_per_atom": 0.24, "lattice_angstrom": [[2.638, 0.000, 0.000], [0.000, 3.843, 0.000], [0.000, 0.000, 5.625]], "species": ["Co", "Re", "W", "W"], "frac_coords": [[0.000, 0.000, 0.000], [0.500, 0.500, 0.227], [0.000, 0.000, 0.490], [0.500, 0.500, 0.771]]}


Record 9
{"formula": "CdFe2GeBi", "functional": "PBEsol", "state": "optimized geometry", "energy_ev_per_atom": -4.1442, "ef_ev_per_atom": 1.53, "lattice_angstrom": [[4.791, 0.000, 0.000], [0.000, 4.791, 0.000], [0.000, 0.000, 5.447]], "species": ["Cd", "Fe", "Fe", "Ge", "Bi"], "frac_coords": [[0.000, 0.000, 0.000], [0.000, 0.500, 0.000], [0.500, 0.000, 0.000], [0.500, 0.500, 0.500], [0.000, 0.000, 0.500]]}


Record 10
{"formula": "TcRh2Se", "functional": "PBEsol", "state": "optimized geometry", "energy_ev_per_atom": -7.6242, "e_form_raw_ev_per_atom": 0.224, "lattice_angstrom": [[3.805, 0.000, 0.000], [0.000, 3.805, 0.000], [0.000, 0.000, 7.801]], "species": ["Tc", "Tc", "Rh", "Rh", "Rh", "Rh", "Se", "Se"], "frac_coords": [[0.000, 0.000, 0.000], [0.500, 0.500, 0.500], [0.000, 0.500, 0.250], [0.000, 0.500, 0.750], [0.500, 0.000, 0.250], [0.500, 0.000, 0.750], [0.000, 0.000, 0.500], [0.500, 0.500, 0.000]]}


Record 11
{"formula": "MnCrOs2", "functional": "PBEsol", "state": "optimized geometry", "energy_ev_per_atom": -11.0618, "ef_ev_per_atom": 0.05, "lattice_angstrom": [[3.951, 0.000, 0.000], [0.000, 2.645, 0.000], [0.000, 0.000, 9.529]], "species": ["Mn", "Mn", "Cr", "Cr", "Os", "Os", "Os", "Os"], "frac_coords": [[0.000, 0.000, 0.000], [0.000, 0.500, 0.500], [0.500, 0.000, 0.116], [0.500, 0.500, 0.616], [0.000, 0.000, 0.734], [0.000, 0.500, 0.234], [0.500, 0.000, 0.384], [0.500, 0.500, 0.884]]}


Record 12
{"formula": "Zr2Ti2Tl", "functional": "PBEsol", "state": "optimized geometry", "energy_ev_per_atom": -7.5121, "ef_ev_per_atom": -0.02, "lattice_angstrom": [[7.232, 0.000, 0.000], [0.000, 7.232, 0.000], [0.000, 0.000, 3.789]], "species": ["Zr", "Zr", "Zr", "Zr", "Ti", "Ti", "Ti", "Ti", "Tl", "Tl"], "frac_coords": [[0.169, 0.331, 0.000], [0.331, 0.831, 0.000], [0.669, 0.169, 0.000], [0.831, 0.669, 0.000], [0.129, 0.629, 0.500], [0.371, 0.129, 0.500], [0.629, 0.871, 0.500], [0.871, 0.371, 0.500], [0.000, 0.000, 0.500], [0.500, 0.500, 0.500]]}


| no. | volume (Å³/cell) |
| --- | --- |
| 1 | 94.3 |
| 2 | 165.8 |
| 3 | 148.6 |
| 4 | 139.6 |
| 5 | 267.6 |
| 6 | 301.2 |
| 7 | 102.4 |
| 8 | 57.0 |
| 9 | 125.0 |
| 10 | 113.0 |
| 11 | 99.6 |
| 12 | 198.1 |